1.
A relaxed Sr4GaAg3 crystal. Source: the Alexandria database, functional PBE. Values from VASP.

Calculated values
**E_form**: -321 meV per atom

Structure (Quantum ESPRESSO input):
```
&SYSTEM
  ibrav = 0, nat = 8, ntyp = 3
/
ATOMIC_SPECIES
Ga 69.72 Ga.upf
Sr 87.62 Sr.upf
Ag 107.87 Ag.upf
ATOMIC_POSITIONS angstrom
Ga 2.205 2.405 0.795
Sr 0.000 0.000 1.688
Sr 0.000 2.405 10.345
Sr 2.205 0.000 7.713
Sr 2.205 2.405 4.289
Ag 0.000 0.000 5.170
Ag 0.000 2.405 6.861
Ag 2.205 0.000 11.280
CELL_PARAMETERS angstrom
4.410 0.000 0.000
0.000 4.811 0.000
0.000 0.000 12.035
```



2.
A relaxed SrGa2Ag4 crystal. Source: the Alexandria database, functional PBE. Values from VASP.

Calculated values
**E_form**: -219 meV per atom
**Relative energy among the computed polymorphs**: 0 meV per atom

Structure (Quantum ESPRESSO input):
```
&SYSTEM
  ibrav = 0, nat = 7, ntyp = 3
/
ATOMIC_SPECIES
Sr 87.62 Sr.upf
Ag 107.87 Ag.upf
Ga 69.72 Ga.upf
ATOMIC_POSITIONS angstrom
Sr 0.000 0.000 0.000
Ag 0.000 0.000 4.451
Ag 0.000 2.288 2.610
Ag 2.291 0.000 2.624
Ag 2.291 2.288 4.438
Ga 2.291 2.288 1.289
Ga 2.291 0.000 5.773
CELL_PARAMETERS angstrom
4.581 0.000 0.000
0.000 4.576 0.000
0.000 -2.288 7.062
```



3.
A relaxed Sr6Ga2Ag crystal. Source: the Alexandria database, functional PBE. Values from VASP.

Calculated values
**E_form**: -212 meV per atom

Structure (Quantum ESPRESSO input):
```
&SYSTEM
  ibrav = 0, nat = 18, ntyp = 3
/
ATOMIC_SPECIES
Sr 87.62 Sr.upf
Ga 69.72 Ga.upf
Ag 107.87 Ag.upf
ATOMIC_POSITIONS angstrom
Sr 4.712 5.803 -3.306
Sr -1.993 6.041 6.512
Sr -0.591 2.159 6.970
Sr 6.115 1.920 -2.847
Sr 3.609 5.973 0.695
Sr 0.512 1.988 2.970
Sr 1.412 5.871 4.140
Sr -0.305 5.153 0.431
Sr -1.975 7.854 2.791
Sr 4.426 2.809 3.234
Sr 6.096 0.107 0.873
Sr 2.710 2.091 -0.475
Ga 3.071 0.000 2.173
Ga 5.878 0.000 4.158
Ga 2.525 3.154 5.922
Ga 1.597 4.807 -2.258
Ag -2.482 4.015 3.509
Ag 0.000 0.000 0.000
CELL_PARAMETERS angstrom
9.086 -0.068 -3.353
-4.828 7.961 -2.666
-0.136 0.068 9.684
```



4.
A relaxed Sr2Ga3Ag2 crystal. Source: the Alexandria database, functional PBE. Values from VASP.

Calculated values
**E_form**: -309 meV per atom

Structure (Quantum ESPRESSO input):
```
&SYSTEM
  ibrav = 0, nat = 7, ntyp = 3
/
ATOMIC_SPECIES
Ga 69.72 Ga.upf
Sr 87.62 Sr.upf
Ag 107.87 Ag.upf
ATOMIC_POSITIONS angstrom
Ga 0.000 2.952 3.900
Ga 2.384 -0.142 2.636
Ga 2.384 0.000 0.000
Sr 2.384 3.247 1.560
Sr 0.000 -0.436 4.976
Ag 2.384 1.870 4.702
Ag 0.000 0.940 1.834
CELL_PARAMETERS angstrom
4.768 0.000 0.000
-2.384 5.524 0.187
0.000 -2.713 6.350
```



5.
A relaxed Sr2GaAg3 crystal. Source: the Alexandria database, functional PBE. Values from VASP.

Calculated values
**E_form**: -310 meV per atom
**Relative energy among the computed polymorphs**: 13 meV per atom

Structure (Quantum ESPRESSO input):
```
&SYSTEM
  ibrav = 0, nat = 12, ntyp = 3
/
ATOMIC_SPECIES
Sr 87.62 Sr.upf
Ag 107.87 Ag.upf
Ga 69.72 Ga.upf
ATOMIC_POSITIONS angstrom
Sr 3.123 0.314 4.136
Sr 1.715 4.887 0.000
Sr 0.121 3.136 4.136
Sr 4.772 2.013 0.000
Ag -1.570 -1.670 6.860
Ag 3.243 3.450 5.432
Ag 4.813 5.119 1.412
Ag 1.570 1.670 6.860
Ag 1.674 1.780 1.412
Ag 0.000 0.000 2.840
Ga 3.243 3.450 2.761
Ga 0.000 0.000 5.512
CELL_PARAMETERS angstrom
6.245 0.627 0.000
0.241 6.272 0.000
-3.243 -3.450 8.272
```



6.
A relaxed SrGa2Ag4 crystal. Source: the Alexandria database, functional PBE. Values from VASP.

Calculated values
**E_form**: -214 meV per atom
**Relative energy among the computed polymorphs**: 5 meV per atom

Structure (Quantum ESPRESSO input):
```
&SYSTEM
  ibrav = 0, nat = 14, ntyp = 3
/
ATOMIC_SPECIES
Ag 107.87 Ag.upf
Ga 69.72 Ga.upf
Sr 87.62 Sr.upf
ATOMIC_POSITIONS angstrom
Ag 2.132 4.831 1.324
Ag 2.132 6.920 3.414
Ag 2.132 3.414 6.920
Ag 2.132 1.324 4.831
Ag 0.000 2.798 0.709
Ag 0.000 5.446 7.536
Ag 0.000 0.709 2.798
Ag 0.000 7.536 5.446
Ga 2.132 2.337 2.337
Ga 0.000 1.785 6.460
Ga 2.132 5.907 5.907
Ga 0.000 6.460 1.785
Sr 2.132 0.000 0.000
Sr 0.000 4.122 4.122
CELL_PARAMETERS angstrom
4.263 0.000 0.000
0.000 8.244 0.000
0.000 0.000 8.244
```



7.
A relaxed Sr2GaAg7 crystal. Source: the Alexandria database, functional PBE. Values from VASP.

Calculated values
**E_form**: -165 meV per atom

Structure (Quantum ESPRESSO input):
```
&SYSTEM
  ibrav = 0, nat = 10, ntyp = 3
/
ATOMIC_SPECIES
Sr 87.62 Sr.upf
Ag 107.87 Ag.upf
Ga 69.72 Ga.upf
ATOMIC_POSITIONS angstrom
Sr 0.563 -3.480 -1.202
Sr 3.626 -8.117 2.748
Ag 0.964 -4.263 2.095
Ag 4.753 -9.544 -0.174
Ag 0.806 -6.698 0.716
Ag 0.000 0.000 0.000
Ag 3.225 -7.333 -0.549
Ag 3.384 -4.898 0.830
Ag -0.564 -2.052 1.720
Ga -2.578 -1.801 -0.114
CELL_PARAMETERS angstrom
-2.920 -1.509 3.000
-2.236 -2.092 -3.229
6.768 -9.796 1.661
```



8.
A relaxed Sr3Ga3Ag crystal. Source: the Alexandria database, functional PBE. Values from VASP.

Calculated values
**E_form**: -384 meV per atom

Structure (Quantum ESPRESSO input):
```
&SYSTEM
  ibrav = 0, nat = 14, ntyp = 3
/
ATOMIC_SPECIES
Ga 69.72 Ga.upf
Ag 107.87 Ag.upf
Sr 87.62 Sr.upf
ATOMIC_POSITIONS angstrom
Ga 8.519 -12.382 -2.599
Ga 2.603 -11.095 -1.369
Ga -1.447 -8.856 -2.664
Ga 4.287 -5.957 -0.513
Ga -1.629 -4.670 0.717
Ga 8.338 -8.196 0.782
Ag 2.288 -7.149 0.990
Ag 4.602 -9.903 -2.872
Sr 5.425 -12.893 -1.209
Sr 1.894 -7.933 -2.262
Sr -2.012 -5.465 -2.548
Sr 1.465 -4.159 -0.672
Sr 4.996 -9.119 0.380
Sr 8.902 -11.587 0.666
CELL_PARAMETERS angstrom
-2.552 -3.895 1.248
-1.822 -3.337 -4.827
11.265 -9.821 1.697
```



9.
A relaxed SrGa3Ag2 crystal. Source: the Alexandria database, functional PBE. Values from VASP.

Calculated values
**E_form**: -250 meV per atom

Structure (Quantum ESPRESSO input):
```
&SYSTEM
  ibrav = 0, nat = 12, ntyp = 3
/
ATOMIC_SPECIES
Sr 87.62 Sr.upf
Ga 69.72 Ga.upf
Ag 107.87 Ag.upf
ATOMIC_POSITIONS angstrom
Sr 4.253 -4.358 0.922
Sr 1.420 -3.038 3.837
Ga 0.381 -3.254 0.603
Ga 5.490 -6.640 3.453
Ga 2.748 -0.702 1.749
Ga 0.183 -0.755 1.306
Ga 5.292 -4.142 4.156
Ga 2.925 -6.694 3.011
Ag 4.680 -1.710 3.272
Ag 0.993 -5.686 1.488
Ag 5.127 -0.918 0.582
Ag 1.440 -4.893 -1.202
CELL_PARAMETERS angstrom
-0.894 -1.584 5.379
-0.081 -6.534 -1.938
6.648 0.722 1.318
```



10.
A relaxed Sr4GaAg crystal. Source: the Alexandria database, functional PBE. Values from VASP.

Calculated values
**E_form**: -219 meV per atom
**Relative energy among the computed polymorphs**: 3 meV per atom

Structure (Quantum ESPRESSO input):
```
&SYSTEM
  ibrav = 0, nat = 12, ntyp = 3
/
ATOMIC_SPECIES
Sr 87.62 Sr.upf
Ag 107.87 Ag.upf
Ga 69.72 Ga.upf
ATOMIC_POSITIONS angstrom
Sr -2.884 -1.700 6.704
Sr -0.797 1.616 6.704
Sr 2.814 3.193 4.790
Sr -0.820 5.327 4.790
Sr 3.657 -1.025 2.786
Sr 5.721 6.003 0.872
Sr 0.023 1.109 2.786
Sr 3.634 2.687 0.872
Ag 5.521 0.127 0.045
Ag -2.684 4.176 7.531
Ga 1.840 0.042 5.527
Ga 0.997 4.260 2.049
CELL_PARAMETERS angstrom
7.361 0.169 0.000
-1.687 8.436 0.000
-2.837 -4.303 7.576
```



11.
A relaxed Sr3Ga9Ag2 crystal. Source: the Alexandria database, functional PBE. Values from VASP.

Calculated values
**E_form**: -385 meV per atom

Structure (Quantum ESPRESSO input):
```
&SYSTEM
  ibrav = 0, nat = 14, ntyp = 3
/
ATOMIC_SPECIES
Ga 69.72 Ga.upf
Ag 107.87 Ag.upf
Sr 87.62 Sr.upf
ATOMIC_POSITIONS angstrom
Ga -0.287 -3.069 1.445
Ga 3.949 -11.692 4.703
Ga 3.364 -6.078 1.395
Ga 4.001 -3.346 2.343
Ga 0.484 -5.631 0.869
Ga 5.276 -7.768 6.157
Ga 1.811 -1.707 2.323
Ga 1.759 -10.053 4.684
Ga 6.046 -10.329 5.582
Ag 4.433 -5.690 4.164
Ag 1.327 -7.708 2.863
Sr 1.379 -4.570 3.795
Sr 0.000 0.000 0.000
Sr 4.381 -8.829 3.231
CELL_PARAMETERS angstrom
-0.967 -1.243 4.236
-0.559 -8.626 -0.248
7.287 -3.530 3.039
```



12.
A relaxed SrGa2Ag8 crystal. Source: the Alexandria database, functional PBE. Values from VASP.

Calculated values
**E_form**: 171 meV per atom

Structure (Quantum ESPRESSO input):
```
&SYSTEM
  ibrav = 0, nat = 11, ntyp = 3
/
ATOMIC_SPECIES
Sr 87.62 Sr.upf
Ag 107.87 Ag.upf
Ga 69.72 Ga.upf
ATOMIC_POSITIONS angstrom
Sr 0.237 -5.920 0.781
Ag 0.365 -9.166 1.485
Ag 2.188 -4.116 -1.216
Ag 0.109 -2.674 0.078
Ag 0.252 -5.722 -2.537
Ag -1.714 -7.724 2.778
Ag 2.301 -7.560 2.806
Ag 0.222 -6.117 4.099
Ag -1.827 -4.280 -1.244
Ga -1.923 -1.596 -1.312
Ga 2.065 -1.432 -1.284
CELL_PARAMETERS angstrom
-3.846 -3.191 -2.624
4.130 -2.864 -2.569
0.190 -5.784 6.755
```